--- i ---
This record from the Alexandria database describes a crystal of Ni2RuPt relaxed with PBEsol. The functional is meta-GGA SCAN.

Its crystal system is monoclinic. The density is 13.93 Mg/m³. The calculation puts the density of states at the Fermi level at 4.9 states/eV/f.u.

Cell lengths 2.633, 4.419, 4.508 Å; angles 100.11, 106.98, 90.00 degrees
Element x y z (fractional)
1 Ru 0.747 0.241 0.494
2 Pt 0.500 0.501 0.001
3 Ni 0.000 0.999 0.999
4 Ni 0.253 0.759 0.506

--- ii ---
This record from the Alexandria database describes a crystal of Ni2RuPt relaxed with PBEsol. The functional is meta-GGA SCAN.

Its crystal system is orthorhombic. The density is 13.94 Mg/m³. The calculation puts the density of states at the Fermi level at 4.1 states/eV/f.u.

Cell lengths 2.627, 3.542, 5.295 Å; angles 90.00, 90.00, 90.00 degrees
Element x y z (fractional)
1 Ru 0.500 0.500 0.500
2 Pt 0.500 0.500 0.000
3 Ni 0.000 0.000 0.738
4 Ni 0.000 0.000 0.262

--- iii ---
This record from the Alexandria database describes a crystal of Ni2RuPt relaxed with PBEsol. The functional is meta-GGA SCAN.

Its crystal system is tetragonal. The density is 13.98 Mg/m³. The calculation puts the density of states at the Fermi level at 4.2 states/eV/f.u.

Cell lengths 3.625, 3.625, 4.532 Å; angles 113.58, 113.58, 90.00 degrees
Element x y z (fractional)
1 Ru 0.250 0.750 0.500
2 Pt 0.000 0.000 0.000
3 Ni 0.500 0.500 0.000
4 Ni 0.750 0.250 0.500

--- iv ---
This record from the Alexandria database describes a crystal of Ni2RuPt relaxed with PBEsol. The functional is meta-GGA SCAN.

Its crystal system is tetragonal. The density is 13.95 Mg/m³. The calculation puts the density of states at the Fermi level at 3.2 states/eV/f.u.

Cell lengths 2.628, 2.628, 7.126 Å; angles 90.00, 90.00, 90.00 degrees
Element x y z (fractional)
1 Ru 0.500 0.500 0.500
2 Pt 0.500 0.500 0.000
3 Ni 0.000 0.000 0.741
4 Ni 0.000 0.000 0.259

The most stable structure shown above is iii; the least stable is i.